# 1
! CsTaPO (PBE, optimized geometry); values from VASP
&SYSTEM
  ibrav = 0, nat = 8, ntyp = 4
/
ATOMIC_SPECIES
Cs 132.91 Cs.upf
Ta 180.95 Ta.upf
P 30.97 P.upf
O 16.00 O.upf
CELL_PARAMETERS angstrom
4.405 0.000 0.000
0.000 4.405 0.000
0.000 0.000 10.152
ATOMIC_POSITIONS angstrom
Cs 1.101 3.303 0.000
Cs 3.303 1.101 0.000
Ta 1.101 1.101 4.821
Ta 3.303 3.303 5.330
P 1.101 1.101 2.593
P 3.303 3.303 7.559
O 1.101 3.303 5.076
O 3.303 1.101 5.076
! * ΔE to the lowest computed polymorph: 521.0 meV per atom
! * total magnetization: 0.001 μB/f.u.
! * space-group type: P4/nmm (129)
! * energy: -6.271 eV/atom

***

# 2
! CsTaPO (PBE, optimized geometry); values from VASP
&SYSTEM
  ibrav = 0, nat = 8, ntyp = 4
/
ATOMIC_SPECIES
Cs 132.91 Cs.upf
Ta 180.95 Ta.upf
P 30.97 P.upf
O 16.00 O.upf
CELL_PARAMETERS angstrom
3.537 0.000 0.000
0.000 7.840 0.000
0.000 0.000 7.370
ATOMIC_POSITIONS angstrom
Cs 0.000 1.566 0.000
Cs 0.000 6.274 3.685
Ta 1.769 2.487 3.575
Ta 1.769 5.353 7.259
P 1.769 3.862 5.465
P 1.769 3.978 1.781
O 0.000 1.562 3.513
O 0.000 6.278 7.198
! * ΔE to the lowest computed polymorph: 0.0 meV per atom
! * total magnetization: 0.009 μB/f.u.
! * space-group type: Pmc2_1 (26)
! * energy: -6.792 eV/atom

***

# 3
! CsTaPO (PBE, optimized geometry); values from VASP
&SYSTEM
  ibrav = 0, nat = 8, ntyp = 4
/
ATOMIC_SPECIES
Cs 132.91 Cs.upf
Ta 180.95 Ta.upf
P 30.97 P.upf
O 16.00 O.upf
CELL_PARAMETERS angstrom
4.120 0.000 0.000
0.000 4.120 0.000
0.000 0.000 12.466
ATOMIC_POSITIONS angstrom
Cs 1.030 1.030 1.943
Cs 3.090 3.090 10.524
Ta 1.030 3.090 6.233
Ta 3.090 1.030 6.233
P 1.030 1.030 7.636
P 3.090 3.090 4.831
O 1.030 3.090 0.000
O 3.090 1.030 0.000
! * ΔE to the lowest computed polymorph: 832.1 meV per atom
! * total magnetization: 0.026 μB/f.u.
! * space-group type: P4/nmm (129)
! * energy: -5.960 eV/atom

***

# 4
! CsTaP2O8 (PBE, optimized geometry); values from VASP
&SYSTEM
  ibrav = 0, nat = 12, ntyp = 4
/
ATOMIC_SPECIES
Cs 132.91 Cs.upf
Ta 180.95 Ta.upf
P 30.97 P.upf
O 16.00 O.upf
CELL_PARAMETERS angstrom
4.310 -2.617 0.000
4.310 2.617 0.000
-0.513 0.000 8.539
ATOMIC_POSITIONS angstrom
Cs 0.000 0.000 0.000
Ta -0.257 0.000 4.269
P 2.729 0.000 5.988
P 5.377 0.000 2.551
O 1.563 0.000 4.946
O 3.605 1.241 5.621
O 4.501 1.241 2.918
O 2.286 0.000 7.404
O 5.820 0.000 1.135
O 3.605 -1.241 5.621
O 4.501 -1.241 2.918
O 6.543 0.000 3.593
! * total magnetization: 0.006 μB/f.u.
! * space-group type: C2/m (12)
! * energy: -7.743 eV/atom